Record 1
# TbSc6Al3 | the Alexandria database | PBE | optimized geometry
data_TbSc6Al3
_chemical_formula_sum 'Tb4 Sc24 Al12'
_space_group_name_H-M_alt 'C m c 21'
_space_group_IT_number 36
_cell_length_a 11.407
_cell_length_b 11.610
_cell_length_c 7.041
_cell_angle_alpha 90.00
_cell_angle_beta 90.00
_cell_angle_gamma 90.00
loop_
_space_group_symop_operation_xyz
'x,y,z'
'-x,-y,z+1/2'
'-x,y,z'
'x,-y,z+1/2'
'x+1/2,y+1/2,z'
'-x+1/2,-y+1/2,z+1/2'
'-x+1/2,y+1/2,z'
'x+1/2,-y+1/2,z+1/2'
loop_
_atom_site_label
_atom_site_fract_x
_atom_site_fract_y
_atom_site_fract_z
_atom_site_occupancy
Tb1 0.000 0.220 0.000 1
Sc1 0.000 0.205 0.531 1
Sc2 0.000 0.479 0.410 1
Sc3 0.206 0.032 0.496 1
Sc4 0.208 0.301 0.310 1
Al1 0.000 0.007 0.261 1
Al2 0.145 0.380 0.691 1
# E = -5.5269 eV/atom

Record 2
# Tb4ScAl2 | the Alexandria database | PBE | optimized geometry
data_Tb4ScAl2
_chemical_formula_sum 'Tb12 Sc3 Al6'
_space_group_name_H-M_alt 'R -3 m'
_space_group_IT_number 166
_space_group_name_Hall '-R 3 2"'
_cell_length_a 5.1596
_cell_length_b 5.1596
_cell_length_c 24.3275
_cell_angle_alpha 90.00
_cell_angle_beta 90.00
_cell_angle_gamma 120.00
loop_
_atom_site_label
_atom_site_fract_x
_atom_site_fract_y
_atom_site_fract_z
_atom_site_occupancy
Tb1 0.0000 0.0000 0.1042 1
Tb2 0.0000 0.0000 0.3647 1
Sc1 0.0000 0.0000 0.5000 1
Al1 0.0000 0.0000 0.2344 1
# E = -4.7915 eV/atom

Record 3
# TbScAl4 | the Alexandria database | PBE | optimized geometry
data_TbScAl4
_chemical_formula_sum 'Tb4 Sc4 Al16'
_space_group_name_H-M_alt 'F -4 3 m'
_space_group_IT_number 216
_space_group_name_Hall 'F -4 2 3'
_cell_length_a 7.742
_cell_length_b 7.742
_cell_length_c 7.742
_cell_angle_alpha 90.00
_cell_angle_beta 90.00
_cell_angle_gamma 90.00
loop_
_atom_site_label
_atom_site_fract_x
_atom_site_fract_y
_atom_site_fract_z
_atom_site_occupancy
Tb1 0.000 0.000 0.000 1
Sc1 0.250 0.250 0.250 1
Al1 0.125 0.125 0.625 1
# E = -4.8136 eV/atom

Record 4
# TbScAl2 | the Alexandria database | PBE | optimized geometry
data_TbScAl2
_chemical_formula_sum 'Tb1 Sc1 Al2'
_space_group_name_H-M_alt 'P 4/m m m'
_space_group_IT_number 123
_space_group_name_Hall '-P 4 2'
_cell_length_a 3.506
_cell_length_b 3.506
_cell_length_c 6.960
_cell_angle_alpha 90.00
_cell_angle_beta 90.00
_cell_angle_gamma 90.00
loop_
_atom_site_label
_atom_site_fract_x
_atom_site_fract_y
_atom_site_fract_z
_atom_site_occupancy
Tb1 0.000 0.000 0.000 1
Sc1 0.000 0.000 0.500 1
Al1 0.500 0.500 0.275 1
# E = -5.0317 eV/atom

Record 5
# TbScAl2 | the Alexandria database | PBE | optimized geometry
data_TbScAl2
_chemical_formula_sum 'Tb4 Sc4 Al8'
_space_group_name_H-M_alt 'F m -3 m'
_space_group_IT_number 225
_space_group_name_Hall '-F 4 2 3'
_cell_length_a 7.003
_cell_length_b 7.003
_cell_length_c 7.003
_cell_angle_alpha 90.00
_cell_angle_beta 90.00
_cell_angle_gamma 90.00
loop_
_atom_site_label
_atom_site_fract_x
_atom_site_fract_y
_atom_site_fract_z
_atom_site_occupancy
Tb1 0.000 0.000 0.000 1
Sc1 0.000 0.000 0.500 1
Al1 0.250 0.250 0.250 1
# E = -5.0116 eV/atom

Record 6
# Tb12Sc5Al2 | the Alexandria database | PBE | optimized geometry
data_Tb12Sc5Al2
_chemical_formula_sum 'Tb24 Sc10 Al4'
_space_group_name_H-M_alt 'C 1 2/m 1'
_space_group_IT_number 12
_cell_length_a 14.622
_cell_length_b 9.087
_cell_length_c 8.190
_cell_angle_alpha 90.00
_cell_angle_beta 93.16
_cell_angle_gamma 90.00
loop_
_space_group_symop_operation_xyz
'x,y,z'
'-x,-y,-z'
'-x,y,-z'
'x,-y,z'
'x+1/2,y+1/2,z'
'-x+1/2,-y+1/2,-z'
'-x+1/2,y+1/2,-z'
'x+1/2,-y+1/2,z'
loop_
_atom_site_label
_atom_site_fract_x
_atom_site_fract_y
_atom_site_fract_z
_atom_site_occupancy
Tb1 0.056 0.000 0.325 1
Tb2 0.083 0.500 0.877 1
Tb3 0.126 0.198 0.669 1
Tb4 0.146 0.313 0.229 1
Sc1 0.000 0.500 0.500 1
Sc2 0.187 0.000 0.018 1
Sc3 0.231 0.500 0.576 1
Al1 0.000 0.162 0.000 1
# E = -4.9461 eV/atom

Number 1: size of the total moment 0.00 μB/f.u., formation energy -1.42 eV per formula unit. Number 2: size of the total moment 0.00 μB/f.u., formation energy -1.20 eV per formula unit. Number 3: size of the total moment 0.00 μB/f.u., formation energy -2.95 eV per formula unit. Number 4: size of the total moment 0.00 μB/f.u., formation energy -1.68 eV per formula unit. Number 5: size of the total moment 0.00 μB/f.u., formation energy -1.60 eV per formula unit. Number 6: size of the total moment 0.00 μB/f.u., formation energy 0.73 eV per formula unit.